The following is a PBE-GGA calculation of a geometry-optimized Li2Tl3BiF9 structure, from the Alexandria database.

Cell: 6.0247 6.0247 7.8331 Å, 90.00 90.00 120.00°
With the nearest neighbours (Å) after each atom.
Positions (direct):
Li: 0.3333 0.6667 0.1977  3 F 1.94
Li: 0.6667 0.3333 0.8023  3 F 1.94
Tl: 0.0000 0.0000 0.0000  12 F 3.01-3.03
Tl: 0.3333 0.6667 0.7796  3 F 2.45
Tl: 0.6667 0.3333 0.2204  3 F 2.45
Bi: 0.0000 0.0000 0.5000  6 F 2.28
F: 0.0000 0.5000 0.0000  2 Li 2.33, 2 Tl 2.45
F: 0.1692 0.3383 0.3150  1 Li 1.94
F: 0.1692 0.8308 0.3150  1 Li 1.94
F: 0.3383 0.1692 0.6850  1 Li 1.94
F: 0.5000 0.0000 0.0000  2 Li 2.33, 2 Tl 2.45
F: 0.5000 0.5000 0.0000  2 Li 2.33, 2 Tl 2.45
F: 0.6617 0.8308 0.3150  1 Li 1.94
F: 0.8308 0.1692 0.6850  1 Li 1.94
F: 0.8308 0.6617 0.6850  1 Li 1.94

Computed properties:
Uncorrected formation energy: -2.20 eV/atom
Spin magnetization: 0.76 μB per cell
Space group: P-3m1